# 1
Entry from Alexandria via LeMat-Bulk: a relaxed structure of HoPaZnHg (PBE).

```
4
Lattice="-1.177 -3.779 3.315 3.696 -2.120 2.915 0.112 0.897 5.083" Properties=species:S:1:pos:R:3 pbc="T T T"
Pa 0.658 -1.250 2.828
Ho 1.973 -3.751 8.484
Zn 0.000 0.000 0.000
Hg 1.316 -2.501 5.656
```

Summary:
As for the energy of formation: -0.008 eV/atom. As for the density of states at the Fermi level: 8.117 states/eV/f.u. As for the space group: F-43m.



# 2
Entry from Alexandria via LeMat-Bulk: a relaxed structure of Ho2Hg5Pb (PBE).

```
16
Lattice="4.512 0.000 0.000 0.000 6.623 0.000 0.000 0.000 13.254" Properties=species:S:1:pos:R:3 pbc="T T T"
Hg 0.000 3.167 9.910
Hg 2.256 5.087 1.737
Ho 2.256 1.747 1.623
Ho 2.256 5.059 5.004
Hg 2.256 1.536 11.516
Ho 2.256 1.564 8.250
Pb 0.000 0.000 6.627
Hg 2.256 4.848 8.364
Hg 0.000 3.456 3.344
Hg 2.256 1.775 4.890
Hg 0.000 0.000 0.000
Hg 0.000 6.479 9.971
Hg 0.000 3.312 6.627
Ho 2.256 4.876 11.631
Hg 0.000 0.144 3.283
Pb 0.000 3.312 0.000
```

Summary:
As for the energy of formation: -0.313 eV/atom. As for the density of states at the Fermi level: 5.404 states/eV/f.u. As for the space group: Pbam.



# 3
Entry from Alexandria via LeMat-Bulk: a relaxed structure of Ho3Hg2Pb (PBE).

```
12
Lattice="3.772 0.000 0.000 0.000 5.264 0.000 0.000 0.000 15.902" Properties=species:S:1:pos:R:3 pbc="T T T"
Hg 3.771 2.632 2.739
Hg 3.771 2.632 13.163
Pb 3.770 2.632 7.951
Ho 1.884 2.632 5.248
Ho 1.887 0.000 13.199
Hg 0.001 0.000 10.690
Ho 1.884 2.632 10.655
Pb 0.001 0.000 0.000
Ho 1.883 0.000 7.951
Ho 1.887 0.000 2.704
Hg 0.001 0.000 5.212
Ho 1.889 2.632 0.000
```

Summary:
As for the energy of formation: -0.458 eV/atom. As for the density of states at the Fermi level: 4.675 states/eV/f.u. As for the space group: Cmmm.



# 4
Entry from Alexandria via LeMat-Bulk: a relaxed structure of Ho2HgPb5 (PBE).

```
16
Lattice="4.844 0.000 0.000 0.000 6.796 0.000 0.000 0.000 13.590" Properties=species:S:1:pos:R:3 pbc="T T T"
Pb 2.422 1.762 11.934
Pb 0.000 6.745 3.422
Hg 0.000 0.000 6.795
Pb 0.000 3.348 3.373
Ho 2.422 5.127 11.884
Pb 2.422 5.034 1.656
Ho 2.422 1.729 8.501
Pb 0.000 0.000 0.000
Pb 2.422 1.636 5.139
Pb 0.000 0.050 10.168
Pb 2.422 5.160 8.451
Ho 2.422 5.067 5.089
Pb 0.000 3.448 10.217
Ho 2.422 1.669 1.706
Hg 0.000 3.398 0.000
Pb 0.000 3.398 6.795
```

Summary:
As for the energy of formation: -0.286 eV/atom. As for the density of states at the Fermi level: 3.406 states/eV/f.u. As for the space group: Pbam.



# 5
Entry from Alexandria via LeMat-Bulk: a relaxed structure of HoHgPb (PBE).

```
12
Lattice="4.701 0.000 0.000 0.000 4.367 0.000 0.000 0.000 15.615" Properties=species:S:1:pos:R:3 pbc="T T T"
Ho 2.350 1.092 6.258
Ho 4.701 3.276 1.550
Pb 2.350 1.092 1.214
Pb 2.351 3.276 14.402
Hg 4.701 1.092 3.998
Pb 4.701 3.276 6.594
Pb 0.000 1.092 9.021
Ho 2.351 3.276 9.357
Ho 0.000 1.092 14.066
Hg 0.000 3.276 11.617
Hg 2.350 3.276 3.809
Hg 2.351 1.092 11.806
```

Summary:
As for the energy of formation: -0.354 eV/atom. As for the density of states at the Fermi level: 1.711 states/eV/f.u. As for the space group: Cmcm.



# 6
Entry from Alexandria via LeMat-Bulk: a relaxed structure of HoHg4Pb (PBE).

```
6
Lattice="-1.923 4.289 2.039 -4.177 2.146 -2.018 -1.629 -1.505 8.068" Properties=species:S:1:pos:R:3 pbc="T T T"
Hg -2.946 1.293 0.940
Hg -4.963 3.452 0.932
Hg -2.767 1.478 7.157
Pb -3.865 2.465 4.045
Ho 0.000 0.000 0.000
Hg -4.784 3.638 7.149
```

Summary:
As for the energy of formation: -0.196 eV/atom. As for the density of states at the Fermi level: 2.838 states/eV/f.u. As for the space group: C2/m. Its energy above the most stable polymorph in this dataset is 0.0000 eV/atom.



# 7
Entry from Alexandria via LeMat-Bulk: a relaxed structure of Ho2Hg4Pb (PBE).

```
7
Lattice="-2.575 -4.993 0.537 5.020 -2.546 0.404 -1.378 4.664 7.105" Properties=species:S:1:pos:R:3 pbc="T T T"
Ho -0.123 0.706 5.976
Hg 1.130 -3.234 5.004
Hg 2.510 -1.273 0.202
Hg -1.287 -2.496 0.268
Pb 0.000 0.000 0.000
Ho 1.190 -3.580 2.070
Hg -0.062 0.359 3.041
```

Summary:
As for the energy of formation: 0.164 eV/atom. As for the density of states at the Fermi level: 6.097 states/eV/f.u. As for the space group: I4/mmm. Its energy above the most stable polymorph in this dataset is 0.4554 eV/atom.



# 8
Entry from Alexandria via LeMat-Bulk: a relaxed structure of Ho2Hg4Pb (PBE).

```
7
Lattice="4.927 0.000 1.539 2.223 4.397 1.539 0.107 0.066 8.310" Properties=species:S:1:pos:R:3 pbc="T T T"
Hg 1.071 0.659 5.226
Hg 3.129 1.924 7.294
Pb 0.000 0.000 0.000
Hg 6.186 3.804 6.163
Hg 4.128 2.539 4.094
Ho 1.993 1.226 2.275
Ho 5.264 3.237 9.114
```

Summary:
As for the energy of formation: -0.292 eV/atom. As for the density of states at the Fermi level: 3.223 states/eV/f.u. As for the space group: R-3m. Its energy above the most stable polymorph in this dataset is 0.0000 eV/atom.



# 9
Entry from Alexandria via LeMat-Bulk: a relaxed structure of Ho6Hg8Pb (PBE).

```
15
Lattice="-7.448 0.062 -3.062 -5.817 -1.495 5.364 -4.384 6.440 2.039" Properties=species:S:1:pos:R:3 pbc="T T T"
Hg -7.346 5.161 0.637
Ho -10.142 2.644 5.009
Hg -10.417 3.295 -0.735
Hg -8.998 -0.185 0.086
Hg -10.304 -0.154 3.704
Ho -7.508 2.363 -0.669
Ho -10.243 5.239 1.604
Hg -12.320 3.495 3.030
Hg -8.652 5.192 4.255
Ho -7.407 -0.232 2.736
Hg -7.232 1.712 5.075
Hg -5.330 1.512 1.311
Ho -6.157 3.846 3.114
Pb 0.000 0.000 0.000
Ho -11.493 1.161 1.226
```

Summary:
As for the energy of formation: -0.332 eV/atom. As for the density of states at the Fermi level: 9.286 states/eV/f.u. As for the space group: R-3.



# 10
Entry from Alexandria via LeMat-Bulk: a relaxed structure of Ho5Hg2Pb2 (PBE).

```
18
Lattice="7.790 0.000 0.000 0.000 8.304 0.000 0.000 -4.152 7.894" Properties=species:S:1:pos:R:3 pbc="T T T"
Ho 6.518 1.449 5.778
Ho 5.167 1.449 2.116
Pb 3.895 0.000 4.596
Ho 2.623 6.854 2.116
Ho 6.518 5.601 2.116
Pb 0.000 0.000 3.298
Hg 4.919 7.203 0.000
Ho 1.272 2.702 2.116
Ho 2.623 2.702 5.778
Ho 0.000 0.000 0.000
Ho 5.167 -2.702 5.778
Ho 3.895 4.152 0.000
Pb 0.000 4.152 4.596
Ho 1.272 -1.449 5.778
Hg 2.871 1.100 0.000
Hg 6.766 3.051 0.000
Hg 1.024 5.252 0.000
Pb 3.895 4.152 3.298
```

Summary:
As for the energy of formation: -0.429 eV/atom. As for the density of states at the Fermi level: 9.828 states/eV/f.u. As for the space group: Cmce.



# 11
Entry from Alexandria via LeMat-Bulk: a relaxed structure of Ho4HgPb3 (PBE).

```
8
Lattice="4.441 0.000 0.000 0.000 4.435 0.000 0.000 0.000 11.570" Properties=species:S:1:pos:R:3 pbc="T T T"
Pb 0.000 2.217 6.968
Pb 0.000 0.000 4.614
Hg 2.220 2.217 1.109
Ho 2.220 2.217 4.191
Ho 0.000 2.217 10.065
Ho 2.220 0.000 7.308
Ho 0.000 0.000 1.513
Pb 2.220 0.000 10.509
```

Summary:
As for the energy of formation: -0.448 eV/atom. As for the density of states at the Fermi level: 6.554 states/eV/f.u. As for the space group: Pmm2.



# 12
Entry from Alexandria via LeMat-Bulk: a relaxed structure of HoHgPb (PBE).

```
3
Lattice="-3.367 -3.695 0.207 -0.175 -3.004 3.997 -3.847 0.297 3.185" Properties=species:S:1:pos:R:3 pbc="T T T"
Hg -1.847 -1.600 1.847
Ho 0.000 0.000 0.000
Pb -3.694 -3.201 3.695
```

Summary:
As for the energy of formation: -0.201 eV/atom. As for the density of states at the Fermi level: 2.710 states/eV/f.u. As for the space group: F-43m.